Record 1
Here is crystalline Ba2MnMo at its relaxed geometry from the Alexandria database. Energies are from GGA-PBE.

It has space group Cm (No. 8), with a = 7.185 Å, b = 4.150 Å, c = 9.691 Å, α = 90.00°, β = 104.70° and γ = 90.00°. The distinct sites, in fractional coordinates, are Ba at (0.000, 0.000, 0.000), Ba at (0.185, 0.000, 0.539), Mn at (0.259, 0.500, 0.269) and Mo at (0.426, 0.000, 0.270).

As for the formation enthalpy at 0 K: 0.53 eV per atom. The value obtained for the total energy is -5.4305 eV per atom.

***

Record 2
Here is crystalline La2Tb8Sm3 at its relaxed geometry from the Alexandria database. Energies are from GGA-PBE.

It has space group C2/m (No. 12), with a = 21.044 Å, b = 7.715 Å, c = 5.590 Å, α = 90.00°, β = 90.02° and γ = 90.00°. The distinct sites, in fractional coordinates, are La at (0.241, 0.000, 0.499), Tb at (0.106, 0.289, 0.500), Tb at (0.127, 0.000, 0.000), Tb at (0.161, 0.500, 0.001), Sm at (0.000, 0.000, 0.500) and Sm at (0.000, 0.292, 0.000).

As for the formation enthalpy at 0 K: 0.24 eV per atom. The value obtained for the total energy is -4.4561 eV per atom.

***

Record 3
Here is crystalline LiVSn2 at its relaxed geometry from the Alexandria database. Energies are from GGA-PBE.

It has space group R-3m (No. 166, hexagonal axes), with a = 3.1803 Å, b = 3.1803 Å, c = 29.3820 Å, α = 90.00°, β = 90.00° and γ = 120.00°. The distinct sites, in fractional coordinates, are Li at (0.0000, 0.0000, 0.0000), V at (0.0000, 0.0000, 0.5000) and Sn at (0.0000, 0.0000, 0.0922).

As for the formation enthalpy at 0 K: 0.12 eV per atom. The value obtained for the total energy is -4.6362 eV per atom.

***

| no. | relative energy among the computed polymorphs (meV per atom) | density (Mg/m³) |
| --- | --- | --- |
| 1 | 0 | 5.1 |
| 2 | 17 | 7.3 |
| 3 | 151 | 5.7 |